No. 1
First-principles (PBE) data for crystalline MgHgGePb at its relaxed geometry, as listed in Alexandria.

Computed properties:
Formation enthalpy at 0 K = 0.05 eV per atom

abc: 5.1855 5.1855 5.1855
angles: 60.00 60.00 60.00
Closest atoms and distances in Å follow each position.
Fractional coordinates of all 4 atoms:
Hg (0.7500, 0.7500, 0.7500)  4 Pb 3.18, 4 Mg 3.18
Pb (0.0000, 0.0000, 0.0000)  4 Ge 3.18, 4 Hg 3.18
Mg (0.5000, 0.5000, 0.5000)  4 Hg 3.18, 4 Ge 3.18
Ge (0.2500, 0.2500, 0.2500)  4 Mg 3.18, 4 Pb 3.18



No. 2
First-principles (PBE) data for crystalline Cs2InPdO4 at its relaxed geometry, as listed in Alexandria.

Computed properties:
Energy relative to the elements, uncorrected = -0.97 eV per atom

abc: 6.1339 7.8018 11.6454
angles: 84.06 74.73 66.85
Closest atoms and distances in Å follow each position.
Fractional coordinates of all 16 atoms:
In (0.0000, 0.0000, 0.0000)  4 O 2.11
In (0.7500, 0.5000, 0.5000)  4 O 2.11
O (0.6396, 0.1901, 0.0062)  1 Pd 2.00, 1 In 2.11
O (0.1703, 0.1901, 0.9938)  1 Pd 2.00, 1 In 2.11
O (0.9141, 0.6901, 0.5062)  1 Pd 2.00, 1 In 2.11
O (0.3542, 0.8099, 0.0062)  1 Pd 2.00, 1 In 2.11
O (0.1104, 0.3099, 0.4938)  1 Pd 2.00, 1 In 2.11
O (0.8359, 0.8099, 0.9938)  1 Pd 2.00, 1 In 2.11
O (0.5797, 0.3099, 0.5062)  1 Pd 2.00, 1 In 2.11
O (0.3958, 0.6901, 0.4938)  1 Pd 2.00, 1 In 2.11
Cs (0.5715, 0.5000, 0.8570)  2 O 2.79
Cs (0.9285, 0.5000, 0.1430)  2 O 2.79
Cs (0.1785, 0.0000, 0.6430)  2 O 2.79
Cs (0.8215, 0.0000, 0.3570)  2 O 2.79
Pd (0.5000, 0.0000, 0.0000)  4 O 2.00
Pd (0.2500, 0.5000, 0.5000)  4 O 2.00



No. 3
First-principles (PBE) data for crystalline BaB2SbCl at its relaxed geometry, as listed in Alexandria.

Computed properties:
Energy relative to the elements, uncorrected = 1.32 eV per atom

abc: 4.9857 5.2374 4.9857
angles: 90.00 90.00 90.00
Closest atoms and distances in Å follow each position.
Fractional coordinates of all 5 atoms:
Sb (0.0000, 0.5000, 0.0000)  2 Cl 2.62
Ba (0.5000, 0.5000, 0.5000)  4 Sb 3.53, 8 B 3.62
B (0.5000, 0.0000, 0.0000)  2 Cl 2.49
B (0.0000, 0.0000, 0.5000)  2 Cl 2.49
Cl (0.0000, 0.0000, 0.0000)  4 B 2.49, 2 Sb 2.62



No. 4
First-principles (PBE) data for crystalline Tb2ErCd at its relaxed geometry, as listed in Alexandria.

Computed properties:
Formation enthalpy at 0 K = 0.15 eV per atom

abc: 3.4598 3.4598 12.2571
angles: 81.89 81.89 60.00
Closest atoms and distances in Å follow each position.
Fractional coordinates of all 4 atoms:
Cd (0.0000, 0.0000, 0.0000)  2 Tb 3.23, 6 Cd 3.46
Tb (0.9110, 0.9110, 0.2671)  1 Cd 3.23, 3 Er 3.45, 6 Tb 3.46
Tb (0.0890, 0.0890, 0.7329)  1 Cd 3.23, 3 Er 3.45, 6 Tb 3.46
Er (0.5000, 0.5000, 0.5000)  6 Tb 3.45, 6 Er 3.46



No. 5
First-principles (PBE) data for crystalline PrHoTm2Tl4 at its relaxed geometry, as listed in Alexandria.

Computed properties:
Formation enthalpy at 0 K = -0.32 eV per atom

abc: 5.3802 5.3802 9.3650
angles: 73.31 73.31 60.00
Closest atoms and distances in Å follow each position.
Fractional coordinates of all 8 atoms:
Tm (0.2493, 0.2493, 0.2520)  8 Tl 3.24-3.39
Tm (0.7507, 0.7507, 0.7480)  8 Tl 3.24-3.39
Ho (0.5000, 0.5000, 0.5000)  8 Tl 3.25-3.28
Tl (0.1270, 0.1270, 0.6189)  4 Tm 3.24-3.31, 3 Ho 3.28, 1 Pr 3.37
Tl (0.8730, 0.8730, 0.3811)  4 Tm 3.24-3.31, 3 Ho 3.28, 1 Pr 3.37
Tl (0.6228, 0.6228, 0.1317)  1 Ho 3.25, 4 Tm 3.28-3.39, 3 Pr 3.32
Tl (0.3772, 0.3772, 0.8683)  1 Ho 3.25, 4 Tm 3.28-3.39, 3 Pr 3.32
Pr (0.0000, 0.0000, 0.0000)  8 Tl 3.32-3.37



No. 6
First-principles (PBE) data for crystalline Li2AgC2 at its relaxed geometry, as listed in Alexandria.

Computed properties:
Formation enthalpy at 0 K = 0.46 eV per atom

abc: 3.5416 3.5416 5.0444
angles: 69.45 69.45 90.00
Closest atoms and distances in Å follow each position.
Fractional coordinates of all 5 atoms:
C (0.4239, 0.4239, 0.1521)  1 C 1.33
C (0.5761, 0.5761, 0.8479)  1 C 1.33
Ag (0.0000, 0.0000, 0.0000)  8 C 2.59, 8 Li 2.82
Li (0.2500, 0.7500, 0.5000)  4 C 2.34, 4 Li 2.50
Li (0.7500, 0.2500, 0.5000)  4 C 2.34, 4 Li 2.50



No. 7
First-principles (PBE) data for crystalline LiTiTl2Hg at its relaxed geometry, as listed in Alexandria.

Computed properties:
Formation enthalpy at 0 K = 0.50 eV per atom

abc: 4.9270 4.7312 4.9270
angles: 90.00 90.00 90.00
Closest atoms and distances in Å follow each position.
Fractional coordinates of all 5 atoms:
Ti (0.5000, 0.5000, 0.5000)  8 Tl 3.42, 4 Hg 3.48
Tl (0.0000, 0.0000, 0.5000)  2 Li 2.46
Tl (0.5000, 0.0000, 0.0000)  2 Li 2.46
Li (0.0000, 0.0000, 0.0000)  2 Hg 2.37, 4 Tl 2.46
Hg (0.0000, 0.5000, 0.0000)  2 Li 2.37



No. 8
First-principles (PBE) data for crystalline TlBiHSe2 at its relaxed geometry, as listed in Alexandria.

Computed properties:
DFT total energy = -3.4002 eV per atom

abc: 5.5745 5.9325 8.7952
angles: 100.81 90.00 90.00
Closest atoms and distances in Å follow each position.
Fractional coordinates of all 10 atoms:
Se (0.7719, 0.7873, 0.9503)  1 H 1.79
Se (0.2281, 0.7873, 0.4503)  1 H 1.79
Se (0.7719, 0.2127, 0.5497)  1 H 1.79
Se (0.2281, 0.2127, 0.0497)  1 H 1.79
Bi (0.5299, 0.0000, 0.2500)  4 Se 2.89-3.02
Bi (0.4701, 0.0000, 0.7500)  4 Se 2.89-3.02
Tl (0.8337, 0.5000, 0.2500)  4 Se 3.12-3.41, 2 Bi 3.42, 2 H 3.47
Tl (0.1663, 0.5000, 0.7500)  4 Se 3.12-3.41, 2 Bi 3.42, 2 H 3.47
H (0.0000, 0.0000, 0.5000)  2 Se 1.79
H (0.0000, 0.0000, 0.0000)  2 Se 1.79



No. 9
First-principles (PBE) data for crystalline LiSc2V2 at its relaxed geometry, as listed in Alexandria.

Computed properties:
Formation enthalpy at 0 K = 0.33 eV per atom

abc: 7.9156 7.9156 3.1699
angles: 90.00 90.00 90.00
Closest atoms and distances in Å follow each position.
Fractional coordinates of all 10 atoms:
Sc (0.7017, 0.7983, 0.5000)  6 V 2.85-2.93, 2 Sc 3.17
Sc (0.7983, 0.2983, 0.5000)  6 V 2.85-2.93, 2 Sc 3.17
Sc (0.2017, 0.7017, 0.5000)  6 V 2.85-2.93, 2 Sc 3.17
Sc (0.2983, 0.2017, 0.5000)  6 V 2.85-2.93, 2 Sc 3.17
V (0.0871, 0.4129, 0.0000)  1 V 1.95
V (0.5871, 0.0871, 0.0000)  1 V 1.95
V (0.4129, 0.9129, 0.0000)  1 V 1.95
V (0.9129, 0.5871, 0.0000)  1 V 1.95
Li (0.0000, 0.0000, 0.0000)  2 Li 3.17, 8 Sc 3.26, 4 V 3.34
Li (0.5000, 0.5000, 0.0000)  2 Li 3.17, 8 Sc 3.26, 4 V 3.34



No. 10
First-principles (PBE) data for crystalline LiNpGa2 at its relaxed geometry, as listed in Alexandria.

Computed properties:
Formation enthalpy at 0 K = -0.10 eV per atom

abc: 2.8870 2.8870 10.0504
angles: 81.74 81.74 60.00
Closest atoms and distances in Å follow each position.
Fractional coordinates of all 4 atoms:
Li (0.0000, 0.0000, 0.0000)  6 Ga 2.81, 6 Li 2.89
Np (0.5000, 0.5000, 0.5000)  6 Np 2.89, 6 Ga 3.16
Ga (0.7429, 0.7429, 0.7713)  3 Li 2.81, 6 Ga 2.89
Ga (0.2571, 0.2571, 0.2287)  3 Li 2.81, 6 Ga 2.89



No. 11
First-principles (PBE) data for crystalline Tl2PbAu4 at its relaxed geometry, as listed in Alexandria.

Computed properties:
Formation enthalpy at 0 K = -0.02 eV per atom

abc: 5.4859 6.7508 9.6582
angles: 110.46 95.93 90.00
Closest atoms and distances in Å follow each position.
Fractional coordinates of all 14 atoms:
Tl (0.7389, 0.5616, 0.4121)  5 Au 3.01-3.18, 2 Tl 3.37
Tl (0.2389, 0.8505, 0.4121)  5 Au 3.01-3.18, 2 Tl 3.37
Tl (0.2611, 0.4384, 0.5879)  5 Au 3.01-3.18, 2 Tl 3.37
Tl (0.7611, 0.1495, 0.5879)  5 Au 3.01-3.18, 2 Tl 3.37
Au (0.7155, 0.5629, 0.8384)  3 Au 2.88-2.98, 2 Tl 3.02-3.18, 3 Pb 3.05-3.22
Au (0.4665, 0.8856, 0.7344)  4 Au 2.75-2.98, 1 Tl 3.01
Au (0.9665, 0.8489, 0.7344)  4 Au 2.75-2.98, 1 Tl 3.01
Au (0.2845, 0.4371, 0.1616)  3 Au 2.88-2.98, 2 Tl 3.02-3.18, 3 Pb 3.05-3.22
Au (0.5335, 0.1144, 0.2656)  4 Au 2.75-2.98, 1 Tl 3.01
Au (0.0335, 0.1511, 0.2656)  4 Au 2.75-2.98, 1 Tl 3.01
Au (0.2155, 0.2755, 0.8384)  3 Au 2.88-2.98, 2 Tl 3.02-3.18, 3 Pb 3.05-3.22
Au (0.7845, 0.7245, 0.1616)  3 Au 2.88-2.98, 2 Tl 3.02-3.18, 3 Pb 3.05-3.22
Pb (0.7500, 0.2466, 0.0000)  10 Au 3.05-3.32
Pb (0.2500, 0.7534, 0.0000)  10 Au 3.05-3.32



No. 12
First-principles (PBE) data for crystalline Sb2As at its relaxed geometry, as listed in Alexandria.

Computed properties:
Energy relative to the elements, uncorrected = 0.09 eV per atom

abc: 6.7929 6.7929 3.0091
angles: 90.00 90.00 144.63
Closest atoms and distances in Å follow each position.
Fractional coordinates of all 3 atoms:
Sb (0.6591, 0.3409, 0.0003)  2 As 2.92, 4 Sb 3.01-3.13
Sb (0.3409, 0.6591, 0.9997)  2 As 2.92, 4 Sb 3.01-3.13
As (0.0000, 0.0000, 0.0000)  4 Sb 2.92, 2 As 3.01